Below is a geometry-optimized KCa3Hg structure, with properties calculated at the PBE level.

Properties
Space-group type: Pm-3m, No. 221
Energy relative to the elements: 0.81 eV per atom
Energy: -0.67 eV per atom

Unit cell a=6.788 b=6.788 c=6.788 alpha=90.00 beta=90.00 gamma=90.00
Sites, in units of the cell vectors:
K  0.000  0.000  0.000
Ca  0.000  0.000  0.500
Ca  0.500  0.000  0.000
Ca  0.000  0.500  0.000
Hg  0.500  0.500  0.500